First-principles (PBE-GGA) data for a geometry-optimized Sr2TcAs structure, as listed in Alexandria.

abc: 4.040 4.060 6.468
angles: 90.00 90.00 90.00
Space group Pmmm (No. 47)
Inequivalent atoms, fractional coordinates:
Sr (0.000, 0.000, 0.240)
Tc (0.500, 0.500, 0.500)
As (0.500, 0.500, 0.000)

Properties
For the energy, the calculation gives -4.367 eV/atom. The value obtained for the formation enthalpy at 0 K is 0.913 eV/f.u.